Version i
A plane-wave DFT calculation with PBE was carried out for an optimized crystal structure of FeHgCl3.

Summary:
As for the crystal system: monoclinic. As for the calculated volume: 170.6 Å³/cell. The space group is Cm, No. 8. The calculation puts the density of states at the Fermi level at 0.5830 states/eV/atom.

Lattice parameters (Å, degrees): 7.325 7.325 6.851 102.29 102.29 28.40
Atoms (fractional coordinates):
Fe 0.000 0.000 0.000
Hg 0.313 0.313 0.419
Cl 0.062 0.062 0.317
Cl 0.559 0.559 0.847
Cl 0.844 0.844 0.919

=====

Version ii
A plane-wave DFT calculation with PBE was carried out for an optimized crystal structure of FeHgCl3.

Summary:
As for the crystal system: cubic. As for the calculated volume: 145.5 Å³/cell. The space group is Pm-3m, No. 221. The calculation puts the density of states at the Fermi level at 13.4856 states/eV/atom.

Lattice parameters (Å, degrees): 5.260 5.260 5.260 90.00 90.00 90.00
Atoms (fractional coordinates):
Fe 0.000 0.000 0.000
Hg 0.500 0.500 0.500
Cl 0.000 0.500 0.500
Cl 0.500 0.000 0.500
Cl 0.500 0.500 0.000

=====

Verdict on stability: version ii comes out at the bottom.

=====

Version i
A plane-wave DFT calculation with PBE was carried out for an optimized crystal structure of KFeI2Cl.

Summary:
As for the crystal system: tetragonal. As for the calculated volume: 161.4 Å³/cell. The space group is P4/mmm, No. 123. The calculation puts the density of states at the Fermi level at 0.9429 states/eV/atom.

Lattice parameters (Å, degrees): 5.823 5.823 4.760 90.00 90.00 90.00
Atoms (fractional coordinates):
K 0.000 0.000 0.000
Fe 0.500 0.500 0.500
I 0.000 0.500 0.500
I 0.500 0.000 0.500
Cl 0.500 0.500 0.000

=====

Version ii
A plane-wave DFT calculation with PBE was carried out for an optimized crystal structure of KFeI2Cl.

Summary:
As for the crystal system: tetragonal. As for the calculated volume: 272.5 Å³/cell. The space group is P4/mmm, No. 123. The calculation puts the density of states at the Fermi level at 0.5152 states/eV/atom.

Lattice parameters (Å, degrees): 5.173 5.173 10.181 90.00 90.00 90.00
Atoms (fractional coordinates):
K 0.000 0.000 0.000
Fe 0.000 0.000 0.500
I 0.000 0.500 0.500
I 0.500 0.000 0.500
Cl 0.500 0.500 0.000

=====

Verdict on stability: version ii comes out at the bottom.

=====

Version i
A plane-wave DFT calculation with PBE was carried out for an optimized crystal structure of FeIN2Cl.

Summary:
As for the crystal system: tetragonal. As for the calculated volume: 105.9 Å³/cell. The space group is P4/mmm, No. 123. The calculation puts the density of states at the Fermi level at 1.3596 states/eV/atom.

Lattice parameters (Å, degrees): 3.917 3.917 6.901 90.00 90.00 90.00
Atoms (fractional coordinates):
Fe 0.000 0.000 0.000
I 0.500 0.500 0.000
N 0.000 0.500 0.500
N 0.500 0.000 0.500
Cl 0.500 0.500 0.500

=====

Version ii
A plane-wave DFT calculation with PBE was carried out for an optimized crystal structure of FeIN2Cl.

Summary:
As for the crystal system: tetragonal. As for the calculated volume: 90.1 Å³/cell. The space group is P4/mmm, No. 123. The calculation puts the density of states at the Fermi level at 0.3809 states/eV/atom.

Lattice parameters (Å, degrees): 3.729 3.729 6.482 90.00 90.00 90.00
Atoms (fractional coordinates):
Fe 0.000 0.000 0.000
I 0.000 0.000 0.500
N 0.000 0.500 0.000
N 0.500 0.000 0.000
Cl 0.500 0.500 0.500

=====

Verdict on stability: version i comes out at the bottom.